# 1
DFT (PBE) results for a relaxed structure of Ac2TbAg3.

abc: 3.8430 3.8430 11.6423
angles: 90.00 90.00 90.00
Last column: nearest neighbours and their distance in Å.
Element x y z (fractional)
Ac  0.5000  0.5000  0.8249  8 Ag 3.40-3.47, 1 Tb 3.78
Ac  0.5000  0.5000  0.1751  8 Ag 3.40-3.47, 1 Tb 3.78
Tb  0.5000  0.5000  0.5000  8 Ag 3.16
Ag  0.0000  0.0000  0.0000  8 Ac 3.40
Ag  0.0000  0.0000  0.6393  4 Tb 3.16, 1 Ag 3.24, 4 Ac 3.47
Ag  0.0000  0.0000  0.3607  4 Tb 3.16, 1 Ag 3.24, 4 Ac 3.47

Output
- DFT formation energy: -155 kJ/mol of formula units
- Density: 9.0 g/cm³
- DFT total energy: -3.835 eV per atom


# 2
DFT (PBE) results for a relaxed structure of In4Sn2Pb5.

abc: 4.5145 7.3562 10.7807
angles: 98.49 101.38 90.33
Last column: nearest neighbours and their distance in Å.
Element x y z (fractional)
In  0.2716  0.1598  0.5392  6 Pb 3.23-3.41, 2 In 3.26-3.28, 1 Sn 3.36
In  0.9602  0.6844  0.9232  4 Sn 3.23-3.45, 4 Pb 3.25-3.42, 1 In 3.37
In  0.7284  0.8402  0.4608  6 Pb 3.23-3.41, 2 In 3.26-3.28, 1 Sn 3.36
In  0.0398  0.3156  0.0768  4 Sn 3.23-3.45, 4 Pb 3.25-3.42, 1 In 3.37
Sn  0.4184  0.3734  0.8436  5 In 3.23-3.45, 5 Pb 3.33-3.41, 1 Sn 3.54
Sn  0.5816  0.6266  0.1564  5 In 3.23-3.45, 5 Pb 3.33-3.41, 1 Sn 3.54
Pb  0.8148  0.4827  0.6256  4 In 3.27-3.37, 2 Sn 3.40-3.41, 2 Pb 3.49-3.56
Pb  0.1852  0.5173  0.3744  4 In 3.27-3.37, 2 Sn 3.40-3.41, 2 Pb 3.49-3.56
Pb  0.8753  0.0448  0.7537  4 In 3.23-3.42, 2 Sn 3.33-3.35, 2 Pb 3.47-3.53
Pb  0.5000  0.0000  0.0000  4 In 3.25, 2 Sn 3.41, 4 Pb 3.47-3.53
Pb  0.1247  0.9552  0.2463  4 In 3.23-3.42, 2 Sn 3.33-3.35, 2 Pb 3.47-3.53

Output
- DFT formation energy: 73 kJ/mol of formula units
- Polymorph energy (0 for the lowest one): 0 meV per atom
- Density: 8.3 g/cm³
- DFT total energy: -3.341 eV per atom


# 3
DFT (PBE) results for a relaxed structure of LiSc2Pb.

abc: 5.8100 5.8100 4.5887
angles: 66.79 66.79 39.81
Last column: nearest neighbours and their distance in Å.
Element x y z (fractional)
Li  0.5193  0.5193  0.4806  2 Pb 2.90, 4 Sc 3.04
Pb  0.2328  0.2328  0.2673  2 Li 2.90, 4 Sc 3.04
Sc  0.9945  0.9945  0.0053  4 Li 3.04, 4 Sc 3.24-3.32, 4 Pb 3.26-3.29
Sc  0.7534  0.7534  0.7467  4 Pb 3.04, 4 Sc 3.24-3.32, 4 Li 3.26-3.30

Output
- DFT formation energy: -63 kJ/mol of formula units
- Density: 5.6 g/cm³
- DFT total energy: -4.734 eV per atom


# 4
DFT (PBE) results for a relaxed structure of LaAg2Ir.

abc: 3.4075 3.9075 6.3904
angles: 90.00 90.00 90.00
Last column: nearest neighbours and their distance in Å.
Element x y z (fractional)
Ir  0.0000  0.0000  0.4949  5 Ag 2.85-3.06, 4 La 2.96
Ag  0.0000  0.0000  0.0488  1 Ir 2.85, 4 Ag 2.86
Ag  0.5000  0.5000  0.2394  4 Ag 2.86, 1 La 3.05, 4 Ir 3.06
La  0.5000  0.5000  0.7170  4 Ir 2.96, 1 Ag 3.05

Output
- DFT formation energy: -36 kJ/mol of formula units
- Polymorph energy (0 for the lowest one): 168 meV per atom
- Density: 10.7 g/cm³
- DFT total energy: -4.965 eV per atom


# 5
DFT (PBE) results for a relaxed structure of ZnGePd3.

abc: 6.6946 6.3969 7.4071
angles: 90.00 90.00 90.00
Last column: nearest neighbours and their distance in Å.
Element x y z (fractional)
Zn  0.0000  0.5000  0.0000  6 Pd 2.51-2.62
Zn  0.5000  0.0000  0.5000  6 Pd 2.51-2.62
Zn  0.5000  0.0000  0.0000  6 Pd 2.51-2.62
Zn  0.0000  0.5000  0.5000  6 Pd 2.51-2.62
Ge  0.3403  0.5717  0.7500  8 Pd 2.56-2.73
Ge  0.1597  0.0717  0.2500  8 Pd 2.56-2.73
Ge  0.6597  0.4283  0.2500  8 Pd 2.56-2.73
Ge  0.8403  0.9283  0.7500  8 Pd 2.56-2.73
Pd  0.8497  0.1476  0.0576  2 Zn 2.51-2.56, 3 Ge 2.56-2.68
Pd  0.6503  0.6476  0.5576  2 Zn 2.51-2.56, 3 Ge 2.56-2.68
Pd  0.6503  0.6476  0.9424  2 Zn 2.51-2.56, 3 Ge 2.56-2.68
Pd  0.1503  0.8524  0.5576  2 Zn 2.51-2.56, 3 Ge 2.56-2.68
Pd  0.1503  0.8524  0.9424  2 Zn 2.51-2.56, 3 Ge 2.56-2.68
Pd  0.3497  0.3524  0.4424  2 Zn 2.51-2.56, 3 Ge 2.56-2.68
Pd  0.3497  0.3524  0.0576  2 Zn 2.51-2.56, 3 Ge 2.56-2.68
Pd  0.8497  0.1476  0.4424  2 Zn 2.51-2.56, 3 Ge 2.56-2.68
Pd  0.1206  0.2392  0.7500  2 Ge 2.59-2.73, 2 Zn 2.62, 4 Pd 2.84-2.86
Pd  0.3794  0.7392  0.2500  2 Ge 2.59-2.73, 2 Zn 2.62, 4 Pd 2.84-2.86
Pd  0.8794  0.7608  0.2500  2 Ge 2.59-2.73, 2 Zn 2.62, 4 Pd 2.84-2.86
Pd  0.6206  0.2608  0.7500  2 Ge 2.59-2.73, 2 Zn 2.62, 4 Pd 2.84-2.86

Output
- DFT formation energy: -186 kJ/mol of formula units
- Polymorph energy (0 for the lowest one): 0 meV per atom
- Density: 9.6 g/cm³
- DFT total energy: -4.680 eV per atom


# 6
DFT (PBE) results for a relaxed structure of Ce5H12Ru2.

abc: 5.8663 6.4260 7.2368
angles: 102.25 90.00 117.16
Last column: nearest neighbours and their distance in Å.
Element x y z (fractional)
Ce  0.3432  0.6864  0.6374  7 H 2.25-2.35
Ce  0.2918  0.5836  0.1511  7 H 2.24-2.38
Ce  0.0000  0.0000  0.5000  6 H 2.36-2.57
Ce  0.7082  0.4164  0.8489  7 H 2.24-2.38
Ce  0.6568  0.3136  0.3626  7 H 2.25-2.35
H  0.9666  0.9331  0.1365  2 Ru 1.83
H  0.1248  0.6923  0.9092  1 Ru 1.74
H  0.5675  0.6923  0.9092  1 Ru 1.74
H  0.0561  0.6535  0.3958  4 Ce 2.33-2.36, 2 H 2.58-2.59
H  0.5974  0.6535  0.3958  4 Ce 2.33-2.36, 2 H 2.58-2.59
H  0.5146  0.0291  0.8670  2 Ru 1.81
H  0.4854  0.9709  0.1330  2 Ru 1.81
H  0.9439  0.3465  0.6042  4 Ce 2.33-2.36, 2 H 2.58-2.59
H  0.4026  0.3465  0.6042  4 Ce 2.33-2.36, 2 H 2.58-2.59
H  0.8752  0.3077  0.0908  1 Ru 1.74
H  0.4325  0.3077  0.0908  1 Ru 1.74
H  0.0334  0.0669  0.8635  2 Ru 1.83
Ru  0.7558  0.0000  0.0000  6 H 1.74-1.83
Ru  0.2442  0.0000  0.0000  6 H 1.74-1.83

Output
- Density: 6.4 g/cm³
- DFT total energy: -4.998 eV per atom


# 7
DFT (PBE) results for a relaxed structure of CuTeSe2.

abc: 3.7673 4.8500 5.4320
angles: 70.36 90.00 90.00
Last column: nearest neighbours and their distance in Å.
Element x y z (fractional)
Cu  0.5000  0.7034  0.8179  3 Se 2.42-2.43
Se  0.0000  0.9763  0.8960  2 Cu 2.42, 1 Te 2.64
Se  0.5000  0.3106  0.2381  1 Cu 2.43
Te  0.0000  0.5097  0.5480  3 Se 2.64-2.90, 2 Cu 2.74

Output
- Formation energy (no corrections): 0.3 eV/f.u.
- Density: 6.2 g/cm³
- DFT total energy: -3.487 eV per atom


# 8
DFT (PBE) results for a relaxed structure of Li2InAu3.

abc: 4.5724 7.4599 6.5149
angles: 90.00 90.00 68.16
Last column: nearest neighbours and their distance in Å.
Element x y z (fractional)
Li  0.0000  0.0000  0.0000  8 Au 2.89-2.90, 2 In 3.06
Li  0.0000  0.0000  0.5000  8 Au 2.70-2.72
Li  0.3385  0.3351  0.5000  8 Au 2.71-2.77
Li  0.6615  0.6649  0.5000  8 Au 2.71-2.77
In  0.3458  0.3227  0.0000  8 Au 2.86-3.02, 1 Li 3.06
In  0.6542  0.6773  0.0000  8 Au 2.86-3.02, 1 Li 3.06
Au  0.8433  0.3263  0.7252  5 Li 2.70-2.89, 3 In 2.90-3.02, 1 Au 2.93
Au  0.5000  0.0000  0.2728  6 Li 2.72-2.90, 2 In 2.86, 1 Au 2.96
Au  0.1567  0.6737  0.2748  5 Li 2.70-2.89, 3 In 2.90-3.02, 1 Au 2.93
Au  0.8433  0.3263  0.2748  5 Li 2.70-2.89, 3 In 2.90-3.02, 1 Au 2.93
Au  0.1567  0.6737  0.7252  5 Li 2.70-2.89, 3 In 2.90-3.02, 1 Au 2.93
Au  0.5000  0.0000  0.7272  6 Li 2.72-2.90, 2 In 2.86, 1 Au 2.96

Output
- DFT formation energy: -255 kJ/mol of formula units
- Polymorph energy (0 for the lowest one): 0 meV per atom
- Density: 11.6 g/cm³
- DFT total energy: -3.174 eV per atom


# 9
DFT (PBE) results for a relaxed structure of LaCr2Co.

abc: 5.5475 5.5475 5.5475
angles: 141.45 141.45 55.66
Last column: nearest neighbours and their distance in Å.
Element x y z (fractional)
Co  0.7500  0.2500  0.5000  4 La 2.59
Cr  0.0000  0.0000  0.0000  4 Cr 2.59
Cr  0.5000  0.5000  0.0000  4 Cr 2.59
La  0.2500  0.7500  0.5000  4 Co 2.59

Output
- DFT formation energy: 324 kJ/mol of formula units
- Polymorph energy (0 for the lowest one): 534 meV per atom
- Density: 7.6 g/cm³
- DFT total energy: -6.980 eV per atom


# 10
DFT (PBE) results for a relaxed structure of CeMgAs2Rh5.

abc: 4.0865 4.0865 10.4606
angles: 90.00 90.00 90.00
Last column: nearest neighbours and their distance in Å.
Element x y z (fractional)
Ce  0.0000  0.0000  0.5000  4 Rh 2.89
Mg  0.0000  0.0000  0.0000  8 Rh 2.62
As  0.5000  0.5000  0.2720  5 Rh 2.37-2.38
As  0.5000  0.5000  0.7280  5 Rh 2.37-2.38
Rh  0.0000  0.5000  0.1573  2 As 2.37, 2 Mg 2.62
Rh  0.5000  0.0000  0.1573  2 As 2.37, 2 Mg 2.62
Rh  0.0000  0.5000  0.8427  2 As 2.37, 2 Mg 2.62
Rh  0.5000  0.0000  0.8427  2 As 2.37, 2 Mg 2.62
Rh  0.5000  0.5000  0.5000  2 As 2.38

Output
- DFT formation energy: -339 kJ/mol of formula units
- Density: 7.9 g/cm³
- DFT total energy: -6.344 eV per atom


# 11
DFT (PBE) results for a relaxed structure of AuS2O.

abc: 6.5071 6.5071 6.5071
angles: 34.49 34.49 34.49
Last column: nearest neighbours and their distance in Å.
Element x y z (fractional)
S  0.9042  0.9042  0.9042  1 O 1.76
S  0.0958  0.0958  0.0958  1 O 1.76
Au  0.5000  0.5000  0.5000  6 S 2.58
O  0.0000  0.0000  0.0000  2 S 1.76

Output
- Formation energy (no corrections): 0.9 eV/f.u.
- Density: 5.8 g/cm³
- DFT total energy: -3.901 eV per atom


# 12
DFT (PBE) results for a relaxed structure of RbMnPt2Br.

abc: 4.6593 5.4781 4.6593
angles: 90.00 90.00 90.00
Last column: nearest neighbours and their distance in Å.
Element x y z (fractional)
Mn  0.0000  0.0000  0.0000  4 Pt 2.33
Br  0.0000  0.5000  0.0000  2 Mn 2.74
Rb  0.5000  0.5000  0.5000  4 Br 3.29, 8 Pt 3.60
Pt  0.0000  0.0000  0.5000  2 Mn 2.33
Pt  0.5000  0.0000  0.0000  2 Mn 2.33

Output
- Polymorph energy (0 for the lowest one): 0 meV per atom
- Formation energy (no corrections): 1.7 eV/f.u.
- Density: 8.5 g/cm³
- DFT total energy: -4.446 eV per atom